Mg6MnBO8 | Alexandria | PBE with a Hubbard U | optimized geometry; offset from the most stable computed form = 15 meV/atom; electronic total energy = -6.07 eV per atom; total magnetization = 0.329 μB per atom
1.0
-4.000 0.464 1.379
-0.766 -4.102 -0.842
2.483 -2.086 7.903
Mg Mn B O
6 1 1 8
direct
0.000 0.000 0.500
0.500 0.500 0.500
0.000 0.500 0.248
0.000 0.500 0.752
0.500 0.000 0.248
0.500 0.000 0.752
0.000 0.000 0.000
0.500 0.500 0.000
0.000 0.000 0.257
0.000 0.000 0.743
0.500 0.500 0.244
0.500 0.500 0.756
0.000 0.500 0.000
0.000 0.500 0.500
0.500 0.000 0.000
0.500 0.000 0.500